(1)
DFT (PBE-GGA) results for KNdHgS3 after structural relaxation.

a = 9.1741 Å, b = 9.1741 Å, c = 8.9326 Å
α = 103.66°, β = 103.66°, γ = 26.31°
Fractional positions:
K 0.1395 0.1395 0.0709
K 0.8605 0.8605 0.9291
Nd 0.1705 0.1705 0.5849
Nd 0.8295 0.8295 0.4151
Hg 0.4833 0.4833 0.2745
Hg 0.5167 0.5167 0.7255
S 0.0000 0.0000 0.5000
S 0.3312 0.3312 0.2019
S 0.3315 0.3315 0.6324
S 0.5000 0.5000 0.0000
S 0.6685 0.6685 0.3676
S 0.6688 0.6688 0.7981

Output
The value obtained for the theoretical density is 4.9 g/cm3. The value obtained for the total magnetization is 0.0 μB/f.u. The calculation puts the calculated total energy at -4.26 eV per atom.



(2)
DFT (PBE-GGA) results for NdDy2In3PtAu2 after structural relaxation.

a = 3.9956 Å, b = 7.7714 Å, c = 7.7714 Å
α = 120.25°, β = 90.00°, γ = 90.00°
Fractional positions:
Nd 0.0000 0.0000 0.0000
Dy 0.0000 0.4025 0.8033
Dy 0.0000 0.8033 0.4025
In 0.5000 0.1488 0.4057
In 0.5000 0.4057 0.1488
In 0.5000 0.6563 0.6563
Pt 0.0000 0.4071 0.4071
Au 0.5000 0.0714 0.7313
Au 0.5000 0.7313 0.0714

Output
The value obtained for the theoretical density is 11.2 g/cm3. The value obtained for the total magnetization is 0.0 μB/f.u. The calculation puts the calculated total energy at -4.69 eV per atom.



(3)
DFT (PBE-GGA) results for Y2AgAuO4 after structural relaxation.

a = 3.5233 Å, b = 3.5233 Å, c = 12.3435 Å
α = 90.00°, β = 90.00°, γ = 120.00°
Fractional positions:
Y 0.0000 0.0000 0.2477
Y 0.0000 0.0000 0.7523
Ag 0.3333 0.6667 0.5000
Au 0.6667 0.3333 0.0000
O 0.3333 0.6667 0.3323
O 0.3333 0.6667 0.6677
O 0.6667 0.3333 0.1653
O 0.6667 0.3333 0.8347

Output
The value obtained for the theoretical density is 6.8 g/cm3. The value obtained for the total magnetization is 0.0 μB/f.u. The calculation puts the calculated total energy at -7.10 eV per atom.